[1]
A plane-wave DFT calculation with PBE was carried out for PuSn2As after structural relaxation.

Geometry as CIF:
```
data_PuSn2As
_chemical_formula_sum 'Pu1 Sn2 As1'
_space_group_name_H-M_alt 'P 4/m m m'
_space_group_IT_number 123
_space_group_name_Hall '-P 4 2'
_cell_length_a 4.3774
_cell_length_b 4.3774
_cell_length_c 4.9247
_cell_angle_alpha 90.00
_cell_angle_beta 90.00
_cell_angle_gamma 90.00
loop_
_atom_site_label
_atom_site_fract_x
_atom_site_fract_y
_atom_site_fract_z
Pu1 0.0000 0.0000 0.0000
Sn1 0.0000 0.5000 0.5000
As1 0.5000 0.5000 0.0000
```

Calculated values
DFT formation energy = -393.7 meV per atom
Total moment = 1.32 μB per atom
Energy above the lowest structure with this stoichiometry = 0.0000 eV per atom
Theoretical density = 9.79 Mg/m³
DFT total energy = -28.56 eV/f.u.

***

[2]
A plane-wave DFT calculation with PBE was carried out for Nd5Er2Sb5 after structural relaxation.

Geometry as CIF:
```
data_Nd5Er2Sb5
_chemical_formula_sum 'Nd10 Er4 Sb10'
_space_group_name_H-M_alt 'C 1 2/m 1'
_space_group_IT_number 12
_cell_length_a 14.6459
_cell_length_b 4.4502
_cell_length_c 12.8119
_cell_angle_alpha 90.00
_cell_angle_beta 110.67
_cell_angle_gamma 90.00
loop_
_space_group_symop_operation_xyz
'x,y,z'
'-x,-y,-z'
'-x,y,-z'
'x,-y,z'
'x+1/2,y+1/2,z'
'-x+1/2,-y+1/2,-z'
'-x+1/2,y+1/2,-z'
'x+1/2,-y+1/2,z'
loop_
_atom_site_label
_atom_site_fract_x
_atom_site_fract_y
_atom_site_fract_z
Nd1 0.0000 0.0000 0.0000
Nd2 0.1612 0.0000 0.5386
Nd3 0.2272 0.0000 0.8463
Er1 0.0467 0.5000 0.2909
Sb1 0.0000 0.5000 0.5000
Sb2 0.1153 0.5000 0.9229
Sb3 0.1865 0.0000 0.2869
```

Calculated values
ΔE_f (raw) = -0.90 eV/atom
Total moment = 0.00 μB per atom
Theoretical density = 7.08 Mg/m³
DFT total energy = -64.42 eV/f.u.

***

[3]
A plane-wave DFT calculation with PBE was carried out for LaNi2Mo after structural relaxation.

Geometry as CIF:
```
data_LaNi2Mo
_chemical_formula_sum 'La3 Ni6 Mo3'
_space_group_name_H-M_alt 'R -3 m'
_space_group_IT_number 166
_space_group_name_Hall '-R 3 2"'
_cell_length_a 4.2008
_cell_length_b 4.2008
_cell_length_c 15.4550
_cell_angle_alpha 90.00
_cell_angle_beta 90.00
_cell_angle_gamma 120.00
loop_
_atom_site_label
_atom_site_fract_x
_atom_site_fract_y
_atom_site_fract_z
La1 0.0000 0.0000 0.0000
Ni1 0.0000 0.0000 0.1939
Mo1 0.0000 0.0000 0.5000
```

Calculated values
DFT formation energy = -59.1 meV per atom
Total moment = 0.00 μB per atom
Energy above the lowest structure with this stoichiometry = 0.0000 eV per atom
Theoretical density = 7.43 Mg/m³
DFT total energy = -27.56 eV/f.u.

***

[4]
A plane-wave DFT calculation with PBE was carried out for MgNbP2Cl after structural relaxation.

Geometry as CIF:
```
data_MgNbP2Cl
_chemical_formula_sum 'Mg1 Nb1 P2 Cl1'
_space_group_name_H-M_alt 'P 4/m m m'
_space_group_IT_number 123
_space_group_name_Hall '-P 4 2'
_cell_length_a 4.8696
_cell_length_b 4.8696
_cell_length_c 4.8751
_cell_angle_alpha 90.00
_cell_angle_beta 90.00
_cell_angle_gamma 90.00
loop_
_atom_site_label
_atom_site_fract_x
_atom_site_fract_y
_atom_site_fract_z
Mg1 0.0000 0.0000 0.0000
Nb1 0.5000 0.5000 0.5000
P1 0.0000 0.5000 0.5000
Cl1 0.5000 0.5000 0.0000
```

Calculated values
ΔE_f (raw) = -0.09 eV/atom
Total moment = 0.00 μB per atom
Energy above the lowest structure with this stoichiometry = 0.0000 eV per atom
Theoretical density = 3.08 Mg/m³
DFT total energy = -24.80 eV/f.u.

***

[5]
A plane-wave DFT calculation with PBE was carried out for Sm4YSe7 after structural relaxation.

Geometry as CIF:
```
data_Sm4YSe7
_chemical_formula_sum 'Sm8 Y2 Se14'
_space_group_name_H-M_alt 'C 1 m 1'
_space_group_IT_number 8
_cell_length_a 13.6425
_cell_length_b 4.0445
_cell_length_c 12.3652
_cell_angle_alpha 90.00
_cell_angle_beta 104.71
_cell_angle_gamma 90.00
loop_
_space_group_symop_operation_xyz
'x,y,z'
'x,-y,z'
'x+1/2,y+1/2,z'
'x+1/2,-y+1/2,z'
loop_
_atom_site_label
_atom_site_fract_x
_atom_site_fract_y
_atom_site_fract_z
Sm1 0.0000 0.0000 0.0000
Sm2 0.0873 0.5000 0.3863
Sm3 0.1881 0.0000 0.7665
Sm4 0.3873 0.5000 0.5749
Y1 0.2746 0.5000 0.1539
Se1 0.0479 0.5000 0.6268
Se2 0.1299 0.5000 0.9302
Se3 0.1503 0.0000 0.2245
Se4 0.2267 0.0000 0.5257
Se5 0.3479 0.5000 0.7919
Se6 0.3849 0.0000 0.0780
Se7 0.4264 0.5000 0.3575
```

Calculated values
ΔE_f (raw) = -1.88 eV/atom
Total moment = 0.00 μB per atom
Theoretical density = 6.26 Mg/m³
DFT total energy = -72.31 eV/f.u.

***

[6]
A plane-wave DFT calculation with PBE was carried out for SrMg2Si after structural relaxation.

Geometry as CIF:
```
data_SrMg2Si
_chemical_formula_sum 'Sr3 Mg6 Si3'
_space_group_name_H-M_alt 'R 3 m'
_space_group_IT_number 160
_space_group_name_Hall 'R 3 -2"'
_cell_length_a 4.6067
_cell_length_b 4.6067
_cell_length_c 17.7522
_cell_angle_alpha 90.00
_cell_angle_beta 90.00
_cell_angle_gamma 120.00
loop_
_atom_site_label
_atom_site_fract_x
_atom_site_fract_y
_atom_site_fract_z
Sr1 0.0000 0.0000 0.0000
Mg1 0.0000 0.0000 0.2087
Mg2 0.0000 0.0000 0.4546
Si1 0.0000 0.0000 0.8034
```

Calculated values
ΔE_f (raw) = -0.12 eV/atom
Total moment = 0.00 μB per atom
Theoretical density = 2.51 Mg/m³
DFT total energy = -10.79 eV/f.u.

***

[7]
A plane-wave DFT calculation with PBE was carried out for Hf2InC after structural relaxation.

Geometry as CIF:
```
data_Hf2InC
_chemical_formula_sum 'Hf8 In4 C4'
_space_group_name_H-M_alt 'I -4 2 d'
_space_group_IT_number 122
_space_group_name_Hall 'I -4 2bw'
_cell_length_a 6.8118
_cell_length_b 6.8118
_cell_length_c 6.5476
_cell_angle_alpha 90.00
_cell_angle_beta 90.00
_cell_angle_gamma 90.00
loop_
_atom_site_label
_atom_site_fract_x
_atom_site_fract_y
_atom_site_fract_z
Hf1 0.1645 0.7500 0.1250
In1 0.0000 0.0000 0.5000
C1 0.0000 0.0000 0.0000
```

Calculated values
DFT formation energy = 11.3 meV per atom
Total moment = 0.00 μB per atom
Energy above the lowest structure with this stoichiometry = 0.7260 eV per atom
Theoretical density = 10.58 Mg/m³
DFT total energy = -31.82 eV/f.u.

***

[8]
A plane-wave DFT calculation with PBE was carried out for Ac5PmAg4 after structural relaxation.

Geometry as CIF:
```
data_Ac5PmAg4
_chemical_formula_sum 'Ac5 Pm1 Ag4'
_space_group_name_H-M_alt 'P 4/m m m'
_space_group_IT_number 123
_space_group_name_Hall '-P 4 2'
_cell_length_a 3.9465
_cell_length_b 3.9465
_cell_length_c 21.1536
_cell_angle_alpha 90.00
_cell_angle_beta 90.00
_cell_angle_gamma 90.00
loop_
_atom_site_label
_atom_site_fract_x
_atom_site_fract_y
_atom_site_fract_z
Ac1 0.0000 0.0000 0.0000
Ac2 0.0000 0.0000 0.1894
Ac3 0.0000 0.0000 0.3761
Pm1 0.5000 0.5000 0.5000
Ag1 0.5000 0.5000 0.0942
Ag2 0.5000 0.5000 0.2838
```

Calculated values
DFT formation energy = -196.0 meV per atom
Total moment = 0.00 μB per atom
Theoretical density = 8.63 Mg/m³
DFT total energy = -38.66 eV/f.u.

***

[9]
A plane-wave DFT calculation with PBE was carried out for EuMg2Pb after structural relaxation.

Geometry as CIF:
```
data_EuMg2Pb
_chemical_formula_sum 'Eu1 Mg2 Pb1'
_space_group_name_H-M_alt 'P 4/m m m'
_space_group_IT_number 123
_space_group_name_Hall '-P 4 2'
_cell_length_a 4.6895
_cell_length_b 4.6895
_cell_length_c 4.9653
_cell_angle_alpha 90.00
_cell_angle_beta 90.00
_cell_angle_gamma 90.00
loop_
_atom_site_label
_atom_site_fract_x
_atom_site_fract_y
_atom_site_fract_z
Eu1 0.0000 0.0000 0.0000
Mg1 0.0000 0.5000 0.5000
Pb1 0.5000 0.5000 0.0000
```

Calculated values
DFT formation energy = -258.6 meV per atom
Total moment = 1.76 μB per atom
Energy above the lowest structure with this stoichiometry = 0.0000 eV per atom
Theoretical density = 6.20 Mg/m³
DFT total energy = -18.21 eV/f.u.

***

[10]
A plane-wave DFT calculation with PBE was carried out for Sm6Dy2Er3 after structural relaxation.

Geometry as CIF:
```
data_Sm6Dy2Er3
_chemical_formula_sum 'Sm18 Dy6 Er9'
_space_group_name_H-M_alt 'R -3 m'
_space_group_IT_number 166
_space_group_name_Hall '-R 3 2"'
_cell_length_a 5.6714
_cell_length_b 5.6714
_cell_length_c 38.6518
_cell_angle_alpha 90.00
_cell_angle_beta 90.00
_cell_angle_gamma 120.00
loop_
_atom_site_label
_atom_site_fract_x
_atom_site_fract_y
_atom_site_fract_z
Sm1 0.0000 0.0000 0.0902
Sm2 0.0000 0.0000 0.1870
Sm3 0.0000 0.0000 0.3738
Dy1 0.0000 0.0000 0.4593
Er1 0.0000 0.0000 0.0000
Er2 0.0000 0.0000 0.2834
```

Calculated values
DFT formation energy = 113.2 meV per atom
Total moment = 0.00 μB per atom
Energy above the lowest structure with this stoichiometry = 0.0000 eV per atom
Theoretical density = 8.00 Mg/m³
DFT total energy = -49.96 eV/f.u.